Record 1
Below is an optimized crystal structure of LiZr2Tl2, with properties calculated at the PBE level.

Values from the calculation:
- Space-group type: No. 127
- Energy above the lowest structure with this stoichiometry: 65.5 meV/atom
- Magnetization: 0.00 μB per formula unit
- Formation energy: 98 meV per atom

a b c (Å): 8.855 8.855 3.185
angles (deg): 90.00 90.00 90.00
Atoms (fractional coordinates):
Li 0.000 0.000 0.000
Li 0.500 0.500 0.000
Zr 0.121 0.379 0.000
Zr 0.379 0.879 0.000
Zr 0.621 0.121 0.000
Zr 0.879 0.621 0.000
Tl 0.178 0.678 0.500
Tl 0.322 0.178 0.500
Tl 0.678 0.822 0.500
Tl 0.822 0.322 0.500

---

Record 2
Below is an optimized crystal structure of LiZr4Tl5, with properties calculated at the PBE level.

Values from the calculation:
- Space-group type: No. 123
- Magnetization: 0.00 μB per formula unit
- Formation energy: -95 meV per atom

a b c (Å): 3.263 3.263 20.871
angles (deg): 90.00 90.00 90.00
Atoms (fractional coordinates):
Li 0.000 0.000 0.000
Zr 0.000 0.000 0.189
Zr 0.000 0.000 0.396
Zr 0.000 0.000 0.604
Zr 0.000 0.000 0.811
Tl 0.500 0.500 0.086
Tl 0.500 0.500 0.293
Tl 0.500 0.500 0.500
Tl 0.500 0.500 0.707
Tl 0.500 0.500 0.914

---

Record 3
Below is an optimized crystal structure of LiZrTl2, with properties calculated at the PBE level.

Values from the calculation:
- Space-group type: No. 160
- Magnetization: 0.00 μB per formula unit
- Formation energy: 133 meV per atom

a b c (Å): 10.645 10.645 10.645
angles (deg): 17.75 17.75 17.75
Atoms (fractional coordinates):
Li 0.000 0.000 0.000
Zr 0.251 0.251 0.251
Tl 0.502 0.502 0.502
Tl 0.744 0.744 0.744

---

Record 4
Below is an optimized crystal structure of LiZrTl, with properties calculated at the PBE level.

Values from the calculation:
- Space-group type: No. 156
- Energy above the lowest structure with this stoichiometry: 246.1 meV/atom
- Magnetization: 0.00 μB per formula unit
- Formation energy: 101 meV per atom

a b c (Å): 3.166 3.166 7.859
angles (deg): 90.00 90.00 120.00
Atoms (fractional coordinates):
Li 0.000 0.000 0.000
Zr 0.667 0.333 0.653
Tl 0.333 0.667 0.308